YGa2Ni2Rh: optimized geometry, PBE.

The total energy is -5.380 eV per atom. As for the energy of formation: -0.85 eV per formula unit.

The structure belongs to space group P4/mmm (No. 123); the cell edges are 4.6378, 4.6378 and 5.2159 Å and the angles 90.00°, 90.00° and 90.00°. The inequivalent atoms are Y at (0.0000, 0.0000, 0.0000), Ga at (0.0000, 0.5000, 0.5000), Ni at (0.5000, 0.5000, 0.2472) and Rh at (0.0000, 0.0000, 0.5000).